This record from the Alexandria database describes a geometry-optimized KH2PbCl8 structure. The functional is PBE.

```
data_KH2PbCl8
_space_group_name_H-M_alt 'P -1'
_space_group_IT_number 2
_space_group_name_Hall '-P 1'
_cell_length_a 5.636
_cell_length_b 6.087
_cell_length_c 10.172
_cell_angle_alpha 93.32
_cell_angle_beta 94.72
_cell_angle_gamma 102.56
loop_
_atom_site_label
_atom_site_type_symbol
_atom_site_fract_x
_atom_site_fract_y
_atom_site_fract_z
K1 K 0.000 0.000 0.000
H1 H 0.450 0.945 0.256
Pb1 Pb 0.000 0.000 0.500
Cl1 Cl 0.202 0.816 0.258
Cl2 Cl 0.252 0.470 0.503
Cl3 Cl 0.266 0.899 0.749
Cl4 Cl 0.441 0.599 0.930
```

## Properties
The calculation puts the density at 2.6 Mg/m³. The total energy comes out at -2.890 eV per atom.

---

This record from the Alexandria database describes a geometry-optimized K2HPbCl6 structure. The functional is PBE.

```
data_K2HPbCl6
_space_group_name_H-M_alt 'P 1'
_space_group_IT_number 1
_space_group_name_Hall 'P 1'
_cell_length_a 7.822
_cell_length_b 7.826
_cell_length_c 7.887
_cell_angle_alpha 117.23
_cell_angle_beta 115.44
_cell_angle_gamma 96.04
loop_
_atom_site_label
_atom_site_type_symbol
_atom_site_fract_x
_atom_site_fract_y
_atom_site_fract_z
K1 K 0.000 0.000 0.000
K2 K 0.439 0.439 0.000
H1 H 0.554 0.055 0.171
Pb1 Pb 0.303 0.669 0.532
Cl1 Cl 0.063 0.454 0.078
Cl2 Cl 0.138 0.942 0.641
Cl3 Cl 0.141 0.338 0.511
Cl4 Cl 0.515 0.216 0.293
Cl5 Cl 0.604 0.820 0.985
Cl6 Cl 0.612 0.809 0.510
```

## Properties
The calculation puts the density at 2.3 Mg/m³. The total energy comes out at -3.229 eV per atom.

---

This record from the Alexandria database describes a geometry-optimized K2H2PbCl4 structure. The functional is PBE.

```
data_K2H2PbCl4
_space_group_name_H-M_alt 'I 4/m m m'
_space_group_IT_number 139
_space_group_name_Hall '-I 4 2'
_cell_length_a 7.638
_cell_length_b 7.638
_cell_length_c 7.976
_cell_angle_alpha 90.00
_cell_angle_beta 90.00
_cell_angle_gamma 90.00
loop_
_atom_site_label
_atom_site_type_symbol
_atom_site_fract_x
_atom_site_fract_y
_atom_site_fract_z
K1 K 0.000 0.500 0.250
H1 H 0.000 0.000 0.216
Pb1 Pb 0.000 0.000 0.000
Cl1 Cl 0.247 0.247 0.500
```

## Properties
The calculation puts the density at 3.1 Mg/m³. The total energy comes out at -3.207 eV per atom.

---

This record from the Alexandria database describes a geometry-optimized KHPdCl2 structure. The functional is PBE.

```
data_KHPdCl2
_space_group_name_H-M_alt 'P 4/m m m'
_space_group_IT_number 123
_space_group_name_Hall '-P 4 2'
_cell_length_a 5.676
_cell_length_b 5.676
_cell_length_c 4.399
_cell_angle_alpha 90.00
_cell_angle_beta 90.00
_cell_angle_gamma 90.00
loop_
_atom_site_label
_atom_site_type_symbol
_atom_site_fract_x
_atom_site_fract_y
_atom_site_fract_z
K1 K 0.000 0.000 0.000
H1 H 0.000 0.000 0.500
Pd1 Pd 0.500 0.500 0.500
Cl1 Cl 0.000 0.500 0.000
```

## Properties
The calculation puts the density at 2.5 Mg/m³. The total energy comes out at -2.359 eV per atom.

---

This record from the Alexandria database describes a geometry-optimized KH2PdCl8 structure. The functional is PBE.

```
data_KH2PdCl8
_space_group_name_H-M_alt 'P -1'
_space_group_IT_number 2
_space_group_name_Hall '-P 1'
_cell_length_a 6.007
_cell_length_b 6.756
_cell_length_c 8.704
_cell_angle_alpha 84.72
_cell_angle_beta 83.77
_cell_angle_gamma 68.80
loop_
_atom_site_label
_atom_site_type_symbol
_atom_site_fract_x
_atom_site_fract_y
_atom_site_fract_z
K1 K 0.000 0.000 0.000
H1 H 0.186 0.302 0.168
Pd1 Pd 0.000 0.000 0.500
Cl1 Cl 0.117 0.721 0.692
Cl2 Cl 0.243 0.768 0.313
Cl3 Cl 0.292 0.123 0.565
Cl4 Cl 0.328 0.308 0.042
```

## Properties
The calculation puts the density at 2.2 Mg/m³. The total energy comes out at -2.911 eV per atom.

---

This record from the Alexandria database describes a geometry-optimized KPuH2Cl8 structure. The functional is PBE.

```
data_KPuH2Cl8
_space_group_name_H-M_alt 'P -1'
_space_group_IT_number 2
_space_group_name_Hall '-P 1'
_cell_length_a 7.015
_cell_length_b 7.488
_cell_length_c 7.900
_cell_angle_alpha 72.02
_cell_angle_beta 86.87
_cell_angle_gamma 84.18
loop_
_atom_site_label
_atom_site_type_symbol
_atom_site_fract_x
_atom_site_fract_y
_atom_site_fract_z
K1 K 0.000 0.000 0.000
Pu1 Pu 0.000 0.500 0.500
H1 H 0.305 0.303 0.153
Cl1 Cl 0.175 0.176 0.602
Cl2 Cl 0.178 0.572 0.195
Cl3 Cl 0.256 0.629 0.620
Cl4 Cl 0.374 0.143 0.130
```

## Properties
The calculation puts the density at 2.4 Mg/m³. The total energy comes out at -4.297 eV per atom.

---

This record from the Alexandria database describes a geometry-optimized KReH2Cl8 structure. The functional is PBE.

```
data_KReH2Cl8
_space_group_name_H-M_alt 'P -1'
_space_group_IT_number 2
_space_group_name_Hall '-P 1'
_cell_length_a 6.596
_cell_length_b 7.359
_cell_length_c 7.921
_cell_angle_alpha 70.87
_cell_angle_beta 84.54
_cell_angle_gamma 84.00
loop_
_atom_site_label
_atom_site_type_symbol
_atom_site_fract_x
_atom_site_fract_y
_atom_site_fract_z
K1 K 0.000 0.000 0.000
Re1 Re 0.000 0.500 0.500
H1 H 0.307 0.297 0.170
Cl1 Cl 0.168 0.562 0.209
Cl2 Cl 0.172 0.193 0.590
Cl3 Cl 0.262 0.623 0.588
Cl4 Cl 0.386 0.139 0.138
```

## Properties
The calculation puts the density at 2.4 Mg/m³. The total energy comes out at -3.728 eV per atom.

---

This record from the Alexandria database describes a geometry-optimized KHRhCl6 structure. The functional is PBE.

```
data_KHRhCl6
_space_group_name_H-M_alt 'P 1'
_space_group_IT_number 1
_space_group_name_Hall 'P 1'
_cell_length_a 6.193
_cell_length_b 6.489
_cell_length_c 6.600
_cell_angle_alpha 95.80
_cell_angle_beta 98.09
_cell_angle_gamma 112.10
loop_
_atom_site_label
_atom_site_type_symbol
_atom_site_fract_x
_atom_site_fract_y
_atom_site_fract_z
K1 K 0.000 0.000 0.000
H1 H 0.367 0.381 0.476
Rh1 Rh 0.835 0.350 0.468
Cl1 Cl 0.005 0.516 0.200
Cl2 Cl 0.091 0.160 0.498
Cl3 Cl 0.119 0.647 0.712
Cl4 Cl 0.557 0.049 0.217
Cl5 Cl 0.579 0.549 0.446
Cl6 Cl 0.658 0.179 0.728
```

## Properties
The calculation puts the density at 2.5 Mg/m³. The total energy comes out at -3.323 eV per atom.

---

This record from the Alexandria database describes a geometry-optimized KHRuCl6 structure. The functional is PBE.

```
data_KHRuCl6
_space_group_name_H-M_alt 'P -1'
_space_group_IT_number 2
_space_group_name_Hall '-P 1'
_cell_length_a 6.148
_cell_length_b 6.207
_cell_length_c 7.075
_cell_angle_alpha 110.35
_cell_angle_beta 107.59
_cell_angle_gamma 90.17
loop_
_atom_site_label
_atom_site_type_symbol
_atom_site_fract_x
_atom_site_fract_y
_atom_site_fract_z
K1 K 0.000 0.000 0.000
H1 H 0.000 0.500 0.500
Ru1 Ru 0.500 0.500 0.500
Cl1 Cl 0.175 0.324 0.535
Cl2 Cl 0.260 0.547 0.195
Cl3 Cl 0.442 0.863 0.713
```

## Properties
The calculation puts the density at 2.5 Mg/m³. The total energy comes out at -3.559 eV per atom.

---

This record from the Alexandria database describes a geometry-optimized KH2RuCl8 structure. The functional is PBE.

```
data_KH2RuCl8
_space_group_name_H-M_alt 'P -1'
_space_group_IT_number 2
_space_group_name_Hall '-P 1'
_cell_length_a 6.593
_cell_length_b 7.079
_cell_length_c 7.490
_cell_angle_alpha 93.03
_cell_angle_beta 92.62
_cell_angle_gamma 98.20
loop_
_atom_site_label
_atom_site_type_symbol
_atom_site_fract_x
_atom_site_fract_y
_atom_site_fract_z
K1 K 0.000 0.000 0.000
H1 H 0.349 0.812 0.669
Ru1 Ru 0.500 0.500 0.000
Cl1 Cl 0.186 0.884 0.614
Cl2 Cl 0.189 0.416 0.841
Cl3 Cl 0.378 0.756 0.141
Cl4 Cl 0.381 0.306 0.230
```

## Properties
The calculation puts the density at 2.0 Mg/m³. The total energy comes out at -3.374 eV per atom.

---

This record from the Alexandria database describes a geometry-optimized K2H2SCl2 structure. The functional is PBE.

```
data_K2H2SCl2
_space_group_name_H-M_alt 'C 1 2/m 1'
_space_group_IT_number 12
_space_group_name_Hall '-C 2y'
_cell_length_a 11.711
_cell_length_b 3.930
_cell_length_c 8.766
_cell_angle_alpha 90.00
_cell_angle_beta 126.63
_cell_angle_gamma 90.00
loop_
_atom_site_label
_atom_site_type_symbol
_atom_site_fract_x
_atom_site_fract_y
_atom_site_fract_z
K1 K 0.020 0.000 0.308
H1 H 0.147 0.500 0.143
S1 S 0.000 0.500 0.000
Cl1 Cl 0.195 0.500 0.677
```

## Properties
The calculation puts the density at 1.9 Mg/m³. The total energy comes out at -3.182 eV per atom.

---

Which value of density does entry 3 give? 3.1 Mg/m³

---

Number 11 is which compound? K2H2SCl2

---

Look up the density of the second one. 2.3 Mg/m³

---

What is the formula in the fifth record? KH2PdCl8